Entry 1:
{
  "formula": "Nd2DyHg",
  "functional": "PBE",
  "state": "optimized geometry",
  "lattice_angstrom": [[3.720, 0.000, 0.000], [0.000, 3.720, 0.000], [0.000, 0.000, 8.964]],
  "species": ["Nd", "Nd", "Dy", "Hg"],
  "fractional_positions": [[0.000, 0.000, 0.225], [0.000, 0.000, 0.775], [0.500, 0.500, 0.500], [0.500, 0.500, 0.000]],
  "formation_enthalpy_0k_ev_per_atom": -0.21,
  "energy_ev_per_cell": -15.30,
  "magmom_total_mub_per_fu": 0.000,
  "dos_at_fermi_per_ev_atom": 1.17,
  "relative_energy_ev_per_atom": 0.0139,
  "vol_a3_per_atom": 31.01
}



Entry 2:
{
  "formula": "CeMgZnIr",
  "functional": "PBE",
  "state": "optimized geometry",
  "lattice_angstrom": [[0.000, 3.391, 3.391], [3.391, 0.000, 3.391], [3.391, 3.391, 0.000]],
  "species": ["Ce", "Mg", "Zn", "Ir"],
  "fractional_positions": [[0.000, 0.000, 0.000], [0.500, 0.500, 0.500], [0.750, 0.750, 0.750], [0.250, 0.250, 0.250]],
  "formation_enthalpy_0k_ev_per_atom": -0.39,
  "energy_ev_per_cell": -19.21,
  "magmom_total_mub_per_fu": 0.000,
  "dos_at_fermi_per_ev_atom": 0.64,
  "vol_a3_per_atom": 19.50
}



Entry 3:
{
  "formula": "Ti3PtO",
  "functional": "PBE",
  "state": "optimized geometry",
  "lattice_angstrom": [[2.920, 0.000, 0.000], [0.000, 4.410, 0.000], [-1.445, 0.000, 10.825]],
  "species": ["Ti", "Ti", "Ti", "Ti", "Ti", "Ti", "Pt", "Pt", "O", "O"],
  "fractional_positions": [[0.000, 0.000, 0.000], [0.058, 0.500, 0.119], [0.200, 0.500, 0.401], [0.345, 0.000, 0.685], [0.438, 0.500, 0.874], [0.618, 0.000, 0.241], [0.744, 0.000, 0.480], [0.827, 0.500, 0.649], [0.436, 0.000, 0.870], [0.626, 0.500, 0.254]],
  "energy_ev_per_cell": -83.52,
  "magmom_total_mub_per_fu": 0.000,
  "dos_at_fermi_per_ev_atom": 0.61,
  "vol_a3_per_atom": 13.94,
  "raw_formation_energy_mev_per_atom": -1415
}